A relaxed La9Sm3Y2 crystal, computed with PBE.

Summary:
**V**: 36.72 Å³/atom
**Total magnetization**: 0.0 μB per cell
**Formation enthalpy at 0 K**: 2.888 eV/f.u.
**Mass density**: 6.070 g/cm³
**VASP energy**: -4.896 eV/atom

Structure (CIF):
```
data_La9Sm3Y2
_symmetry_space_group_name_H-M 'P 1'
_symmetry_Int_Tables_number 1
_cell_length_a 9.1075
_cell_length_b 9.1075
_cell_length_c 14.3124
_cell_angle_alpha 90.00
_cell_angle_beta 90.00
_cell_angle_gamma 120.00
loop_
_symmetry_equiv_pos_as_xyz
'x,y,z'
loop_
_atom_site_label
_atom_site_type_symbol
_atom_site_fract_x
_atom_site_fract_y
_atom_site_fract_z
La1 La 0.0736 0.4869 0.2500
La2 La 0.1309 0.7378 0.0431
La3 La 0.1309 0.7378 0.4569
La4 La 0.2622 0.3931 0.0431
La5 La 0.2622 0.3931 0.4569
La6 La 0.3931 0.1309 0.5431
La7 La 0.3931 0.1309 0.9569
La8 La 0.4134 0.9264 0.2500
La9 La 0.4869 0.4134 0.7500
La10 La 0.5131 0.5866 0.2500
La11 La 0.5866 0.0736 0.7500
La12 La 0.6069 0.8691 0.0431
La13 La 0.6069 0.8691 0.4569
La14 La 0.7378 0.6069 0.5431
La15 La 0.7378 0.6069 0.9569
La16 La 0.8691 0.2622 0.5431
La17 La 0.8691 0.2622 0.9569
La18 La 0.9264 0.5131 0.7500
Sm1 Sm 0.0846 0.2489 0.7500
Sm2 Sm 0.1644 0.9154 0.7500
Sm3 Sm 0.2489 0.1644 0.2500
Sm4 Sm 0.7511 0.8356 0.7500
Sm5 Sm 0.8356 0.0846 0.2500
Sm6 Sm 0.9154 0.7511 0.2500
Y1 Y 0.3333 0.6667 0.6401
Y2 Y 0.3333 0.6667 0.8599
Y3 Y 0.6667 0.3333 0.1401
Y4 Y 0.6667 0.3333 0.3599
```